# ZnSnPO2

A geometry-optimized ZnSnPO2 structure (PBE-GGA, Alexandria via LeMat-Bulk).

Structure (POSCAR):
```
ZnSnPO2
1.0
3.925 0.000 0.000
0.000 3.925 0.000
0.000 0.000 5.610
Zn O Sn P
1 2 1 1
Cartesian
1.963 1.963 2.805 Zn
1.963 0.000 0.000 O
0.000 1.963 0.000 O
0.000 0.000 0.000 Sn
0.000 0.000 2.805 P
```

Results
Space-group type: No. 123
Uncorrected formation energy (eV/atom): -0.2500
Energy (eV per atom): -4.37
M_tot (μB per formula unit): 0.235
Distance to the lowest polymorph of the same formula (meV per atom): 0.0